[1]
Below is La3Tb3Mg after structural relaxation, with properties calculated at the PBE level.

```
data_La3Tb3Mg
_chemical_formula_sum 'La6 Tb6 Mg2'
_cell_length_a 9.6830
_cell_length_b 9.6830
_cell_length_c 5.7336
_cell_angle_alpha 90.00
_cell_angle_beta 90.00
_cell_angle_gamma 120.00
_space_group_name_H-M_alt 'P 63/m'
_space_group_IT_number 176
_space_group_name_Hall '-P 6c'
loop_
_atom_site_label
_atom_site_type_symbol
_atom_site_fract_x
_atom_site_fract_y
_atom_site_fract_z
_atom_site_occupancy
La1 La 0.1015 0.6310 0.2500 1
Tb1 Tb 0.0516 0.8183 0.7500 1
Mg1 Mg 0.3333 0.6667 0.7500 1
```

Calculated values
Magnetic moment in μB per atom: 0.004
Energy relative to the elements in eV/atom: 0.015

[2]
Below is BaZr3 after structural relaxation, with properties calculated at the PBE level.

```
data_BaZr3
_chemical_formula_sum 'Ba1 Zr3'
_cell_length_a 3.3485
_cell_length_b 3.3485
_cell_length_c 11.4247
_cell_angle_alpha 90.00
_cell_angle_beta 90.00
_cell_angle_gamma 120.00
_space_group_name_H-M_alt 'P -6 m 2'
_space_group_IT_number 187
_space_group_name_Hall 'P -6 2'
loop_
_atom_site_label
_atom_site_type_symbol
_atom_site_fract_x
_atom_site_fract_y
_atom_site_fract_z
_atom_site_occupancy
Ba1 Ba 0.0000 0.0000 0.0000 1
Zr1 Zr 0.0000 0.0000 0.5000 1
Zr2 Zr 0.6667 0.3333 0.2836 1
```

Calculated values
Magnetic moment in μB per atom: 0.000
Energy relative to the elements in eV/atom: 0.359
Excess energy over the best structure of this formula in the dataset in meV/atom: 44

[3]
Below is PuPaSb after structural relaxation, with properties calculated at the PBE level.

```
data_PuPaSb
_chemical_formula_sum 'Pu1 Pa1 Sb1'
_cell_length_a 5.0075
_cell_length_b 5.0075
_cell_length_c 3.3583
_cell_angle_alpha 90.00
_cell_angle_beta 90.00
_cell_angle_gamma 120.00
_space_group_name_H-M_alt 'P 3 m 1'
_space_group_IT_number 156
_space_group_name_Hall 'P 3 -2"'
loop_
_atom_site_label
_atom_site_type_symbol
_atom_site_fract_x
_atom_site_fract_y
_atom_site_fract_z
_atom_site_occupancy
Pu1 Pu 0.0000 0.0000 0.0000 1
Pa1 Pa 0.6667 0.3333 0.1673 1
Sb1 Sb 0.3333 0.6667 0.6193 1
```

Calculated values
Magnetic moment in μB per atom: 2.233
Uncorrected formation energy in kJ/mol of formula units: -42.8
Excess energy over the best structure of this formula in the dataset in meV/atom: 261

[4]
Below is Sr2InSbS5 after structural relaxation, with properties calculated at the PBE level.

```
data_Sr2InSbS5
_chemical_formula_sum 'Sr8 In4 Sb4 S20'
_cell_length_a 4.073
_cell_length_b 17.926
_cell_length_c 12.496
_cell_angle_alpha 90.00
_cell_angle_beta 90.00
_cell_angle_gamma 90.00
_space_group_name_H-M_alt 'C m c 21'
_space_group_IT_number 36
_space_group_name_Hall 'C 2c -2'
loop_
_atom_site_label
_atom_site_type_symbol
_atom_site_fract_x
_atom_site_fract_y
_atom_site_fract_z
_atom_site_occupancy
Sr1 Sr 0.000 0.111 0.000 1
Sr2 Sr 0.000 0.129 0.625 1
In1 In 0.000 0.443 0.765 1
Sb1 Sb 0.000 0.219 0.340 1
S1 S 0.000 0.044 0.379 1
S2 S 0.000 0.280 0.986 1
S3 S 0.000 0.313 0.682 1
S4 S 0.000 0.358 0.317 1
S5 S 0.000 0.495 0.091 1
```

Calculated values
Magnetic moment in μB per atom: 0.000
Uncorrected formation energy in kJ/mol of formula units: -1030.7

[5]
Below is Al2Cu3Pd4 after structural relaxation, with properties calculated at the PBE level.

```
data_Al2Cu3Pd4
_chemical_formula_sum 'Al2 Cu3 Pd4'
_cell_length_a 4.2414
_cell_length_b 4.2414
_cell_length_c 8.0012
_cell_angle_alpha 90.00
_cell_angle_beta 90.00
_cell_angle_gamma 120.00
_space_group_name_H-M_alt 'P -3 m 1'
_space_group_IT_number 164
_space_group_name_Hall '-P 3 2"'
loop_
_atom_site_label
_atom_site_type_symbol
_atom_site_fract_x
_atom_site_fract_y
_atom_site_fract_z
_atom_site_occupancy
Al1 Al 0.3333 0.6667 0.2204 1
Cu1 Cu 0.0000 0.0000 0.0000 1
Cu2 Cu 0.3333 0.6667 0.5383 1
Pd1 Pd 0.0000 0.0000 0.3239 1
Pd2 Pd 0.3333 0.6667 0.8876 1
```

Calculated values
Magnetic moment in μB per atom: 0.000
Energy relative to the elements in eV/atom: -0.529

[6]
Below is Sm2CdGa after structural relaxation, with properties calculated at the PBE level.

```
data_Sm2CdGa
_chemical_formula_sum 'Sm2 Cd1 Ga1'
_cell_length_a 3.646
_cell_length_b 3.646
_cell_length_c 7.808
_cell_angle_alpha 90.00
_cell_angle_beta 90.00
_cell_angle_gamma 90.00
_space_group_name_H-M_alt 'P 4/m m m'
_space_group_IT_number 123
_space_group_name_Hall '-P 4 2'
loop_
_atom_site_label
_atom_site_type_symbol
_atom_site_fract_x
_atom_site_fract_y
_atom_site_fract_z
_atom_site_occupancy
Sm1 Sm 0.000 0.000 0.233 1
Cd1 Cd 0.500 0.500 0.500 1
Ga1 Ga 0.500 0.500 0.000 1
```

Calculated values
Magnetic moment in μB per atom: 0.000
Energy relative to the elements in eV/atom: -0.448

[7]
Below is Sm3Ho3Er after structural relaxation, with properties calculated at the PBE level.

```
data_Sm3Ho3Er
_chemical_formula_sum 'Sm18 Ho18 Er6'
_cell_length_a 6.0544
_cell_length_b 6.0544
_cell_length_c 45.2799
_cell_angle_alpha 90.00
_cell_angle_beta 90.00
_cell_angle_gamma 120.00
_space_group_name_H-M_alt 'R -3'
_space_group_IT_number 148
_space_group_name_Hall '-R 3'
loop_
_atom_site_label
_atom_site_type_symbol
_atom_site_fract_x
_atom_site_fract_y
_atom_site_fract_z
_atom_site_occupancy
Sm1 Sm 0.0000 0.3328 0.1982 1
Ho1 Ho 0.0002 0.3333 0.2726 1
Er1 Er 0.0000 0.0000 0.3333 1
```

Calculated values
Magnetic moment in μB per atom: 0.000
Energy relative to the elements in eV/atom: 0.290
Excess energy over the best structure of this formula in the dataset in meV/atom: 273

[8]
Below is BaZrSb2 after structural relaxation, with properties calculated at the PBE level.

```
data_BaZrSb2
_chemical_formula_sum 'Ba2 Zr2 Sb4'
_cell_length_a 3.893
_cell_length_b 4.128
_cell_length_c 16.366
_cell_angle_alpha 90.00
_cell_angle_beta 90.00
_cell_angle_gamma 90.00
_space_group_name_H-M_alt 'I m m 2'
_space_group_IT_number 44
_space_group_name_Hall 'I 2 -2'
loop_
_atom_site_label
_atom_site_type_symbol
_atom_site_fract_x
_atom_site_fract_y
_atom_site_fract_z
_atom_site_occupancy
Ba1 Ba 0.000 0.000 0.000 1
Zr1 Zr 0.000 0.500 0.253 1
Sb1 Sb 0.000 0.000 0.621 1
Sb2 Sb 0.000 0.500 0.820 1
```

Calculated values
Magnetic moment in μB per atom: 0.000
Uncorrected formation energy in kJ/mol of formula units: -244.8
Excess energy over the best structure of this formula in the dataset in meV/atom: 160

[9]
Below is NdThCu2 after structural relaxation, with properties calculated at the PBE level.

```
data_NdThCu2
_chemical_formula_sum 'Nd1 Th1 Cu2'
_cell_length_a 3.561
_cell_length_b 3.561
_cell_length_c 7.267
_cell_angle_alpha 90.00
_cell_angle_beta 90.00
_cell_angle_gamma 90.00
_space_group_name_H-M_alt 'P 4/m m m'
_space_group_IT_number 123
_space_group_name_Hall '-P 4 2'
loop_
_atom_site_label
_atom_site_type_symbol
_atom_site_fract_x
_atom_site_fract_y
_atom_site_fract_z
_atom_site_occupancy
Nd1 Nd 0.000 0.000 0.000 1
Th1 Th 0.000 0.000 0.500 1
Cu1 Cu 0.500 0.500 0.255 1
```

Calculated values
Magnetic moment in μB per atom: 0.000
Energy relative to the elements in eV/atom: -0.091
Excess energy over the best structure of this formula in the dataset in meV/atom: 37

[10]
Below is Ho4Er4Th3 after structural relaxation, with properties calculated at the PBE level.

```
data_Ho4Er4Th3
_chemical_formula_sum 'Ho8 Er8 Th6'
_cell_length_a 10.542
_cell_length_b 5.607
_cell_length_c 11.897
_cell_angle_alpha 90.00
_cell_angle_beta 90.00
_cell_angle_gamma 90.00
_space_group_name_H-M_alt 'A m m 2'
_space_group_IT_number 38
_space_group_name_Hall 'A 2 -2'
loop_
_atom_site_label
_atom_site_type_symbol
_atom_site_fract_x
_atom_site_fract_y
_atom_site_fract_z
_atom_site_occupancy
Ho1 Ho 0.000 0.000 0.000 1
Ho2 Ho 0.215 0.000 0.794 1
Ho3 Ho 0.500 0.000 0.937 1
Er1 Er 0.000 0.000 0.606 1
Er2 Er 0.295 0.000 0.155 1
Er3 Er 0.500 0.000 0.659 1
Th1 Th 0.000 0.000 0.307 1
Th2 Th 0.287 0.000 0.453 1
```

Calculated values
Magnetic moment in μB per atom: 0.000
Energy relative to the elements in eV/atom: 0.169

[11]
Below is Tm2HfZr after structural relaxation, with properties calculated at the PBE level.

```
data_Tm2HfZr
_chemical_formula_sum 'Tm2 Hf1 Zr1'
_cell_length_a 4.646
_cell_length_b 4.646
_cell_length_c 4.754
_cell_angle_alpha 90.00
_cell_angle_beta 90.00
_cell_angle_gamma 90.00
_space_group_name_H-M_alt 'P 4/m m m'
_space_group_IT_number 123
_space_group_name_Hall '-P 4 2'
loop_
_atom_site_label
_atom_site_type_symbol
_atom_site_fract_x
_atom_site_fract_y
_atom_site_fract_z
_atom_site_occupancy
Tm1 Tm 0.000 0.500 0.000 1
Hf1 Hf 0.000 0.000 0.500 1
Zr1 Zr 0.500 0.500 0.500 1
```

Calculated values
Magnetic moment in μB per atom: 0.000
Energy relative to the elements in eV/atom: 0.126
Excess energy over the best structure of this formula in the dataset in meV/atom: 16

[12]
Below is Pm4Y3Ho2 after structural relaxation, with properties calculated at the PBE level.

```
data_Pm4Y3Ho2
_chemical_formula_sum 'Pm8 Y6 Ho4'
_cell_length_a 15.261
_cell_length_b 5.084
_cell_length_c 8.042
_cell_angle_alpha 90.00
_cell_angle_beta 108.43
_cell_angle_gamma 90.00
_space_group_name_H-M_alt 'C 1 2/m 1'
_space_group_IT_number 12
_space_group_name_Hall '-C 2y'
loop_
_atom_site_label
_atom_site_type_symbol
_atom_site_fract_x
_atom_site_fract_y
_atom_site_fract_z
_atom_site_occupancy
Pm1 Pm 0.055 0.000 0.332 1
Pm2 Pm 0.222 0.500 0.332 1
Y1 Y 0.000 0.500 0.000 1
Y2 Y 0.112 0.500 0.669 1
Ho1 Ho 0.167 0.000 0.000 1
```

Calculated values
Magnetic moment in μB per atom: 0.000
Energy relative to the elements in eV/atom: 0.019
Excess energy over the best structure of this formula in the dataset in meV/atom: 0

What is the formula in the third record? PuPaSb